Entry 1:
Density functional theory data (PBE-GGA) for PaMo4P2 after structural relaxation.

```
PaMo4P2
1.0
2.143 -6.900 0.000
2.143 6.900 0.000
0.000 0.000 3.938
Pa Mo P
1 4 2
Direct
0.000 0.000 0.000 Pa
0.171 0.829 0.500 Mo
0.308 0.692 0.000 Mo
0.692 0.308 0.000 Mo
0.829 0.171 0.500 Mo
0.417 0.583 0.500 P
0.583 0.417 0.500 P
```

Calculated values
Size of the total moment = 0.0 μB/f.u.
Formation enthalpy at 0 K = -2.95 eV per formula unit

Entry 2:
Density functional theory data (PBE-GGA) for TaCo2Mo2 after structural relaxation.

```
TaCo2Mo2
1.0
-1.736 1.736 6.258
1.736 -1.736 6.258
1.736 1.736 -6.258
Ta Co Mo
1 2 2
Direct
0.000 0.000 0.000 Ta
0.250 0.750 0.500 Co
0.750 0.250 0.500 Co
0.391 0.391 0.000 Mo
0.609 0.609 0.000 Mo
```

Calculated values
Size of the total moment = 0.0 μB/f.u.
Formation enthalpy at 0 K = 2.21 eV per formula unit
ΔE to the lowest computed polymorph = 366 meV/atom

Entry 3:
Density functional theory data (PBE-GGA) for CaPmEuHg after structural relaxation.

```
CaPmEuHg
1.0
0.000 3.994 3.994
3.994 0.000 3.994
3.994 3.994 0.000
Ca Pm Eu Hg
1 1 1 1
Direct
0.000 0.000 0.000 Ca
0.250 0.250 0.250 Pm
0.750 0.750 0.750 Eu
0.500 0.500 0.500 Hg
```

Calculated values
Size of the total moment = 7.8 μB/f.u.
Formation enthalpy at 0 K = -0.34 eV per formula unit

Entry 4:
Density functional theory data (PBE-GGA) for Al3C after structural relaxation.

```
Al3C
1.0
5.643 0.000 0.000
0.000 7.341 0.000
0.000 0.000 5.562
Al C
12 4
Direct
0.065 0.250 0.197 Al
0.180 0.074 0.679 Al
0.180 0.426 0.679 Al
0.320 0.574 0.179 Al
0.320 0.926 0.179 Al
0.435 0.750 0.697 Al
0.565 0.250 0.303 Al
0.680 0.074 0.821 Al
0.680 0.426 0.821 Al
0.820 0.574 0.321 Al
0.820 0.926 0.321 Al
0.935 0.750 0.803 Al
0.039 0.750 0.147 C
0.461 0.250 0.647 C
0.539 0.750 0.353 C
0.961 0.250 0.853 C
```

Calculated values
Size of the total moment = 0.0 μB/f.u.
Formation enthalpy at 0 K = 0.78 eV per formula unit
ΔE to the lowest computed polymorph = 170 meV/atom

Entry 5:
Density functional theory data (PBE-GGA) for ZnGaP2O after structural relaxation.

```
ZnGaP2O
1.0
4.975 0.000 0.000
0.000 4.975 0.000
0.000 0.000 3.540
Zn Ga P O
1 1 2 1
Direct
0.000 0.000 0.000 Zn
0.500 0.500 0.500 Ga
0.000 0.500 0.500 P
0.500 0.000 0.500 P
0.500 0.500 0.000 O
```

Calculated values
Size of the total moment = 0.0 μB/f.u.
ΔE_f (raw) = 0.361 eV/atom
ΔE to the lowest computed polymorph = 0 meV/atom

Entry 6:
Density functional theory data (PBE-GGA) for Ag4HgI6 after structural relaxation.

```
Ag4HgI6
1.0
6.914 -4.006 0.000
6.914 4.006 0.000
-4.660 0.000 15.186
Ag Hg I
8 2 12
Direct
0.007 0.521 0.276 Ag
0.073 0.927 0.500 Ag
0.168 0.679 0.773 Ag
0.266 0.422 0.000 Ag
0.422 0.266 0.500 Ag
0.521 0.007 0.776 Ag
0.679 0.168 0.273 Ag
0.927 0.073 0.000 Ag
0.353 0.845 0.272 Hg
0.845 0.353 0.772 Hg
0.050 0.576 0.460 I
0.155 0.988 0.699 I
0.268 0.738 0.955 I
0.318 0.486 0.199 I
0.418 0.896 0.458 I
0.486 0.318 0.699 I
0.576 0.050 0.960 I
0.654 0.817 0.194 I
0.738 0.268 0.455 I
0.817 0.654 0.694 I
0.896 0.418 0.958 I
0.988 0.155 0.199 I
```

Calculated values
Size of the total moment = 0.0 μB/f.u.
ΔE_f (raw) = -0.259 eV/atom

> What is the size of the total moment in the fifth record?

0.0 μB/f.u.

> What is the size of the total moment in the fourth record?

0.0 μB/f.u.

Copy entry 2 word for word.
Density functional theory data (PBE-GGA) for TaCo2Mo2 after structural relaxation.

```
TaCo2Mo2
1.0
-1.736 1.736 6.258
1.736 -1.736 6.258
1.736 1.736 -6.258
Ta Co Mo
1 2 2
Direct
0.000 0.000 0.000 Ta
0.250 0.750 0.500 Co
0.750 0.250 0.500 Co
0.391 0.391 0.000 Mo
0.609 0.609 0.000 Mo
```

Calculated values
Size of the total moment = 0.0 μB/f.u.
Formation enthalpy at 0 K = 2.21 eV per formula unit
ΔE to the lowest computed polymorph = 366 meV/atom

> The highest size of the total moment belongs to which entry?

CaPmEuHg